An optimized crystal structure of ScGa2C. Source: Alexandria via LeMat-Bulk, functional PBE.

Cell and atoms, written as POSCAR:
```
ScGa2C
1.0
7.053 0.000 0.000
0.000 7.053 0.000
0.000 0.000 4.796
Sc Ga C
4 8 4
direct
0.000 0.000 0.000
0.000 0.500 0.250
0.500 0.000 0.750
0.500 0.500 0.500
0.166 0.750 0.625
0.250 0.166 0.375
0.250 0.334 0.875
0.334 0.750 0.125
0.666 0.250 0.125
0.750 0.666 0.875
0.750 0.834 0.375
0.834 0.250 0.625
0.000 0.000 0.500
0.000 0.500 0.750
0.500 0.000 0.250
0.500 0.500 0.000
```

Output
Its total magnetization is 0.000 μB per atom. For the energy of formation from the pure elements, the calculation gives 0.44 eV/f.u.